(1)
Computed, not measured: a relaxed PrPa5P6 crystal at the PBE level of DFT.

Properties
energy relative to the elements = -1344 meV/atom
magnetic moment = 0.000 μB per formula unit

Cell lengths 6.930, 6.930, 6.930 Å; angles 99.61, 99.61, 119.98 degrees
Atoms (fractional coordinates):
Pr  0.000  0.000  0.000
Pa  0.163  0.837  0.500
Pa  0.333  0.667  0.000
Pa  0.500  0.500  0.500
Pa  0.667  0.333  0.000
Pa  0.837  0.163  0.500
P  0.086  0.427  0.256
P  0.258  0.258  0.748
P  0.427  0.086  0.256
P  0.573  0.914  0.744
P  0.742  0.742  0.252
P  0.914  0.573  0.744

---

(2)
Computed, not measured: a relaxed LaPa2Ga6 crystal at the PBE level of DFT.

Properties
offset from the most stable computed form = 0.000 eV/atom
energy relative to the elements = -405 meV/atom
magnetic moment = 0.007 μB per formula unit

Cell lengths 7.842, 7.842, 3.561 Å; angles 90.00, 90.00, 120.00 degrees
Atoms (fractional coordinates):
La  0.000  0.000  0.000
Pa  0.333  0.667  0.000
Pa  0.667  0.333  0.000
Ga  0.000  0.338  0.500
Ga  0.000  0.662  0.500
Ga  0.338  0.000  0.500
Ga  0.338  0.338  0.500
Ga  0.662  0.000  0.500
Ga  0.662  0.662  0.500

---

(3)
Computed, not measured: a relaxed CuIr2 crystal at the PBE level of DFT.

Properties
offset from the most stable computed form = 0.117 eV/atom
energy relative to the elements = 177 meV/atom
magnetic moment = 0.000 μB per formula unit

Cell lengths 6.997, 6.997, 4.382 Å; angles 90.00, 90.00, 157.15 degrees
Atoms (fractional coordinates):
Cu  0.110  0.890  0.750
Cu  0.890  0.110  0.250
Ir  0.220  0.780  0.250
Ir  0.444  0.556  0.750
Ir  0.556  0.444  0.250
Ir  0.780  0.220  0.750

---

(4)
Computed, not measured: a relaxed KMn2Te crystal at the PBE level of DFT.

Properties
raw formation energy = 2.09 eV/f.u.
magnetic moment = 7.098 μB per formula unit

Cell lengths 6.451, 6.451, 6.451 Å; angles 150.47, 124.43, 64.18 degrees
Atoms (fractional coordinates):
K  0.000  0.000  0.000
Mn  0.338  0.838  0.500
Mn  0.524  0.524  0.000
Te  0.707  0.207  0.500

---

(5)
Computed, not measured: a relaxed La8GaPd3Br4 crystal at the PBE level of DFT.

Properties
raw formation energy = -16.33 eV/f.u.
magnetic moment = 0.000 μB per formula unit

Cell lengths 9.005, 9.005, 9.005 Å; angles 57.46, 57.46, 57.46 degrees
Atoms (fractional coordinates):
La  0.236  0.743  0.743
La  0.238  0.238  0.238
La  0.257  0.257  0.764
La  0.257  0.764  0.257
La  0.743  0.236  0.743
La  0.743  0.743  0.236
La  0.762  0.762  0.762
La  0.764  0.257  0.257
Ga  0.500  0.500  0.500
Pd  0.000  0.000  0.500
Pd  0.000  0.500  0.000
Pd  0.500  0.000  0.000
Br  0.000  0.000  0.000
Br  0.000  0.500  0.500
Br  0.500  0.000  0.500
Br  0.500  0.500  0.000

---

(6)
Computed, not measured: a relaxed Np2PbF11 crystal at the PBE level of DFT.

Properties
raw formation energy = -44.57 eV/f.u.
magnetic moment = 5.000 μB per formula unit

Cell lengths 8.938, 8.938, 8.938 Å; angles 122.67, 107.73, 98.96 degrees
Atoms (fractional coordinates):
Np  0.179  0.149  0.328
Np  0.321  0.649  0.970
Np  0.679  0.351  0.030
Np  0.821  0.851  0.672
Pb  0.250  0.750  0.500
Pb  0.750  0.250  0.500
F  0.000  0.000  0.000
F  0.058  0.865  0.666
F  0.059  0.456  0.782
F  0.174  0.956  0.398
F  0.199  0.391  0.334
F  0.216  0.864  0.080
F  0.284  0.364  0.647
F  0.301  0.635  0.192
F  0.326  0.724  0.782
F  0.441  0.224  0.398
F  0.442  0.109  0.808
F  0.500  0.500  0.000
F  0.558  0.891  0.192
F  0.559  0.776  0.602
F  0.674  0.276  0.218
F  0.699  0.365  0.808
F  0.716  0.636  0.353
F  0.784  0.136  0.920
F  0.801  0.609  0.666
F  0.826  0.044  0.602
F  0.941  0.544  0.218
F  0.942  0.135  0.334

---

(7)
Computed, not measured: a relaxed Tc3PPb crystal at the PBE level of DFT.

Properties
offset from the most stable computed form = 0.000 eV/atom
energy relative to the elements = 443 meV/atom
magnetic moment = 1.712 μB per formula unit

Cell lengths 4.451, 4.451, 4.451 Å; angles 90.00, 90.00, 90.00 degrees
Atoms (fractional coordinates):
Tc  0.000  0.000  0.500
Tc  0.000  0.500  0.000
Tc  0.500  0.000  0.000
P  0.000  0.000  0.000
Pb  0.500  0.500  0.500

---

(8)
Computed, not measured: a relaxed MgTe crystal at the PBE level of DFT.

Properties
raw formation energy = -0.95 eV/f.u.
magnetic moment = 0.000 μB per formula unit

Cell lengths 9.649, 9.649, 9.649 Å; angles 155.91, 155.91, 34.33 degrees
Atoms (fractional coordinates):
Mg  0.375  0.625  0.750
Mg  0.625  0.375  0.250
Te  0.125  0.875  0.250
Te  0.875  0.125  0.750

---

(9)
Computed, not measured: a relaxed CoIr2Au crystal at the PBE level of DFT.

Properties
offset from the most stable computed form = 0.000 eV/atom
energy relative to the elements = 177 meV/atom
magnetic moment = 1.436 μB per formula unit

Cell lengths 2.759, 2.759, 7.651 Å; angles 90.00, 90.00, 90.00 degrees
Atoms (fractional coordinates):
Co  0.000  0.000  0.000
Ir  0.000  0.000  0.465
Ir  0.500  0.500  0.222
Au  0.500  0.500  0.747

---

(10)
Computed, not measured: a relaxed SrCu4Ni2 crystal at the PBE level of DFT.

Properties
energy relative to the elements = 35 meV/atom
magnetic moment = 0.000 μB per formula unit

Cell lengths 5.163, 5.163, 4.972 Å; angles 118.70, 118.70, 76.69 degrees
Atoms (fractional coordinates):
Sr  0.000  0.000  0.000
Cu  0.000  0.387  0.694
Cu  0.000  0.613  0.306
Cu  0.387  0.000  0.694
Cu  0.613  0.000  0.306
Ni  0.500  0.500  0.250
Ni  0.500  0.500  0.750

---

(11)
Computed, not measured: a relaxed Y2RuSeN crystal at the PBE level of DFT.

Properties
raw formation energy = 3.22 eV/f.u.
magnetic moment = 0.951 μB per formula unit

Cell lengths 5.335, 5.335, 4.390 Å; angles 90.00, 90.00, 90.00 degrees
Atoms (fractional coordinates):
Y  0.000  0.500  0.000
Y  0.500  0.000  0.000
Ru  0.000  0.000  0.500
Se  0.000  0.000  0.000
N  0.500  0.500  0.500

---

(12)
Computed, not measured: a relaxed Ni3Mo2Pt3 crystal at the PBE level of DFT.

Properties
offset from the most stable computed form = 0.000 eV/atom
energy relative to the elements = -174 meV/atom
magnetic moment = 0.011 μB per formula unit

Cell lengths 8.300, 8.300, 8.300 Å; angles 154.13, 153.43, 37.42 degrees
Atoms (fractional coordinates):
Ni  0.000  0.000  0.000
Ni  0.374  0.874  0.500
Ni  0.626  0.126  0.500
Mo  0.249  0.249  0.000
Mo  0.751  0.751  0.000
Pt  0.124  0.624  0.500
Pt  0.500  0.500  0.000
Pt  0.876  0.376  0.500